[1]
# AlCdSb3

A relaxed structure of AlCdSb3 (PBE, Alexandria via LeMat-Bulk).

a = 5.548 Å, b = 5.548 Å, c = 5.548 Å
α = 90.00°, β = 90.00°, γ = 90.00°
Atoms (fractional coordinates):
Sb 0.000 0.500 0.000
Sb 0.000 0.000 0.500
Sb 0.500 0.000 0.000
Al 0.500 0.500 0.500
Cd 0.000 0.000 0.000

- space-group type = Pm-3m
- ρ (Mg/m³) = 4.91
- V (Å³ per cell) = 170.8
- E_tot (eV/atom) = -2.540

---

[2]
# CsIn2CuBr8

A relaxed structure of CsIn2CuBr8 (PBE, Alexandria via LeMat-Bulk).

a = 7.009 Å, b = 7.009 Å, c = 11.047 Å
α = 71.51°, β = 71.51°, γ = 60.00°
Last column: magnetic moment on the atom in μB.
Atoms (fractional coordinates):
Cs 0.500 0.500 0.500  0.00
In 0.259 0.259 0.222  0.00
In 0.741 0.741 0.778  0.00
Cu 0.000 0.000 0.000  0.10
Br 0.176 0.176 0.471  0.00
Br 0.642 0.265 0.154  0.00
Br 0.824 0.824 0.529  0.00
Br 0.938 0.642 0.154  0.00
Br 0.062 0.358 0.846  0.00
Br 0.265 0.938 0.154  0.00
Br 0.735 0.062 0.846  0.00
Br 0.358 0.735 0.846  0.00

- space-group type = R-3
- ρ (Mg/m³) = 4.05
- V (Å³ per cell) = 437.3
- E_tot (eV/atom) = -2.856

---

[3]
# AcPr4Os2

A relaxed structure of AcPr4Os2 (PBE, Alexandria via LeMat-Bulk).

a = 6.773 Å, b = 8.298 Å, c = 8.075 Å
α = 112.55°, β = 90.00°, γ = 90.00°
Atoms (fractional coordinates):
Ac 0.250 0.840 0.982
Ac 0.750 0.160 0.018
Pr 0.501 0.416 0.754
Pr 0.250 0.256 0.326
Pr 0.750 0.744 0.674
Pr 0.999 0.416 0.754
Pr 0.750 0.019 0.379
Pr 0.001 0.584 0.246
Pr 0.499 0.584 0.246
Pr 0.250 0.981 0.621
Os 0.250 0.265 0.980
Os 0.750 0.735 0.020
Os 0.750 0.370 0.409
Os 0.250 0.630 0.591

- space-group type = P2_1/m
- ρ (Mg/m³) = 9.28
- formation enthalpy at 0 K (eV per atom) = 0.031
- V (Å³ per cell) = 419.1

---

[4]
# Cu2Si2Au

A relaxed structure of Cu2Si2Au (PBE, Alexandria via LeMat-Bulk).

a = 3.753 Å, b = 3.753 Å, c = 5.989 Å
α = 71.74°, β = 71.74°, γ = 90.00°
Atoms (fractional coordinates):
Si 0.394 0.394 0.212
Si 0.606 0.606 0.788
Au 0.000 0.000 0.000
Cu 0.750 0.250 0.500
Cu 0.250 0.750 0.500

- space-group type = I4/mmm
- ρ (Mg/m³) = 8.35
- V (Å³ per cell) = 75.6
- E_tot (eV/atom) = -4.266

---

[5]
# MnFeBr2

A relaxed structure of MnFeBr2 (PBE, Alexandria via LeMat-Bulk).

a = 7.990 Å, b = 7.990 Å, c = 7.990 Å
α = 24.72°, β = 24.72°, γ = 24.72°
Last column: magnetic moment on the atom in μB.
Atoms (fractional coordinates):
Br 0.995 0.995 0.995  0.07
Br 0.505 0.505 0.505  0.07
Fe 0.250 0.250 0.250  2.89
Mn 0.750 0.750 0.750  3.89

- space-group type = R-3m
- ρ (Mg/m³) = 5.73
- V (Å³ per cell) = 78.4
- E_tot (eV/atom) = -4.878

---

[6]
# LiCaTl4

A relaxed structure of LiCaTl4 (PBE, Alexandria via LeMat-Bulk).

a = 5.915 Å, b = 8.708 Å, c = 7.500 Å
α = 90.00°, β = 60.91°, γ = 90.00°
Atoms (fractional coordinates):
Li 0.500 0.000 0.500
Li 0.000 0.500 0.500
Ca 0.000 0.000 0.000
Ca 0.500 0.500 0.000
Tl 0.897 0.657 0.193
Tl 0.603 0.157 0.807
Tl 0.648 0.324 0.344
Tl 0.852 0.824 0.656
Tl 0.103 0.343 0.807
Tl 0.397 0.843 0.193
Tl 0.352 0.676 0.656
Tl 0.148 0.176 0.344

- space-group type = P2_1/c
- ρ (Mg/m³) = 8.51
- formation enthalpy at 0 K (eV per atom) = -0.143
- V (Å³ per cell) = 337.6